# 1
# Cs2I6BrF

A geometry-optimized Cs2I6BrF structure (PBE-GGA, Alexandria).

Unit cell a=8.6802 b=8.6802 c=8.4783 alpha=59.21 beta=59.21 gamma=90.00
Fractional positions:
I: 0.2316 0.7684 0.0000
I: 0.7684 0.2316 0.0000
F: 0.5000 0.5000 0.0000
Cs: 0.2500 0.7500 0.5000
I: 0.7684 0.7684 0.0000
I: 0.6990 0.6990 0.6021
I: 0.2316 0.2316 0.0000
Br: 0.0000 0.0000 0.0000
Cs: 0.7500 0.2500 0.5000
I: 0.3010 0.3010 0.3979

ΔE_f (raw): -0.63 eV/atom
volume: 440.7 Å³ per cell



# 2
# CsIn2BrF2

A geometry-optimized CsIn2BrF2 structure (PBE-GGA, Alexandria).

Unit cell a=6.5375 b=6.6576 c=10.1471 alpha=101.73 beta=90.00 gamma=90.00
Fractional positions:
In: 0.4927 0.8066 0.8313
F: 0.2500 0.6512 0.6717
In: 0.9927 0.1934 0.1687
F: 0.7500 0.8268 0.6720
F: 0.7500 0.3488 0.3283
Cs: 0.7500 0.2499 0.5894
In: 0.5073 0.1934 0.1687
Cs: 0.2500 0.7501 0.4106
F: 0.2500 0.1732 0.3280
Br: 0.2500 0.1581 0.7545
Br: 0.7500 0.8419 0.2455
In: 0.0073 0.8066 0.8313

ΔE_f (raw): -1.62 eV/atom
volume: 432.4 Å³ per cell



| no. | DFT total energy (eV/cell) |
| --- | --- |
| 1 | -20.86 |
| 2 | -42.95 |